[1]
This record from Alexandria via LeMat-Bulk describes NbMoO3 after structural relaxation. The functional is PBE with a Hubbard U.

## Properties
Final energy ... -35.864 eV per cell
M_tot ... 5.00 μB per cell

a = 4.0023 Å, b = 4.0023 Å, c = 4.0023 Å
α = 90.00°, β = 90.00°, γ = 90.00°
Closest atoms and distances in Å follow each position.
Fractional positions:
Nb (0.0000, 0.0000, 0.0000)  12 O 2.83
Mo (0.5000, 0.5000, 0.5000)  6 O 2.00
O (0.0000, 0.5000, 0.5000)  2 Mo 2.00
O (0.5000, 0.0000, 0.5000)  2 Mo 2.00
O (0.5000, 0.5000, 0.0000)  2 Mo 2.00

=====

[2]
This record from Alexandria via LeMat-Bulk describes NbMoO3 after structural relaxation. The functional is PBE with a Hubbard U.

## Properties
Final energy ... -39.443 eV per cell
M_tot ... 4.71 μB per cell

a = 4.0211 Å, b = 4.0211 Å, c = 4.0211 Å
α = 90.00°, β = 90.00°, γ = 90.00°
Closest atoms and distances in Å follow each position.
Fractional positions:
Nb (0.0000, 0.0000, 0.0000)  6 O 2.01
Mo (0.5000, 0.5000, 0.5000)  12 O 2.84
O (0.0000, 0.0000, 0.5000)  2 Nb 2.01
O (0.0000, 0.5000, 0.0000)  2 Nb 2.01
O (0.5000, 0.0000, 0.0000)  2 Nb 2.01

=====

[3]
This record from Alexandria via LeMat-Bulk describes Nb2Mo2O after structural relaxation. The functional is PBE with a Hubbard U.

## Properties
Relative energy among the computed polymorphs ... 0.000 eV per atom
M_tot ... 1.62 μB per cell

a = 5.6043 Å, b = 5.6043 Å, c = 5.1713 Å
α = 90.00°, β = 90.00°, γ = 90.00°
Closest atoms and distances in Å follow each position.
Fractional positions:
Nb (0.1681, 0.3319, 0.0000)  5 Nb 2.66-2.95, 2 Mo 2.92
Nb (0.3319, 0.8319, 0.0000)  5 Nb 2.66-2.95, 2 Mo 2.92
Nb (0.6681, 0.1681, 0.0000)  5 Nb 2.66-2.95, 2 Mo 2.92
Nb (0.8319, 0.6681, 0.0000)  5 Nb 2.66-2.95, 2 Mo 2.92
Mo (0.1607, 0.6607, 0.5000)  2 O 2.10
Mo (0.3393, 0.1607, 0.5000)  2 O 2.10
Mo (0.6607, 0.8393, 0.5000)  2 O 2.10
Mo (0.8393, 0.3393, 0.5000)  2 O 2.10
O (0.0000, 0.0000, 0.5000)  4 Mo 2.10
O (0.5000, 0.5000, 0.5000)  4 Mo 2.10

=====

[4]
This record from Alexandria via LeMat-Bulk describes NbMo2O after structural relaxation. The functional is PBE with a Hubbard U.

## Properties
Final energy ... -55.065 eV per cell
M_tot ... 1.92 μB per cell

a = 5.6014 Å, b = 5.6014 Å, c = 5.6014 Å
α = 99.64°, β = 99.64°, γ = 131.69°
Closest atoms and distances in Å follow each position.
Fractional positions:
Nb (0.0000, 0.0000, 0.0000)  2 O 2.29
Nb (0.7500, 0.2500, 0.5000)  2 O 2.29
Mo (0.2354, 0.1250, 0.6104)  2 O 2.15
Mo (0.3750, 0.7646, 0.8896)  2 O 2.15
Mo (0.5146, 0.6250, 0.3896)  2 O 2.15
Mo (0.8750, 0.4854, 0.1104)  2 O 2.15
O (0.2500, 0.7500, 0.5000)  4 Mo 2.15, 2 Nb 2.29
O (0.5000, 0.5000, 0.0000)  4 Mo 2.15, 2 Nb 2.29